No. 1
The following is a PBE calculation of an optimized crystal structure of TlSi2Tc, from Alexandria.

The density of states at the Fermi level comes out at 2.8 states/eV/f.u. For the energy above the lowest structure with this stoichiometry, the calculation gives 727 meV per atom. The calculation puts the uncorrected energy at -5.139 eV/atom. The calculation puts the formation energy from raw total energies at 0.7555 eV per atom.

The structure belongs to space group Pmmm (No. 47); the cell edges are 3.2721, 4.4927 and 4.6425 Å and the angles 90.00°, 90.00° and 90.00°. Symmetry generates all atoms from Tl at (0.0000, 0.0000, 0.0000), Si at (0.0000, 0.5000, 0.5000), Si at (0.5000, 0.5000, 0.0000) and Tc at (0.5000, 0.0000, 0.5000).

---

No. 2
The following is a PBE calculation of an optimized crystal structure of NaInBiTe3, from Alexandria.

The density of states at the Fermi level comes out at 1.5 states/eV/f.u. The calculation puts the uncorrected energy at -3.274 eV/atom. The calculation puts the formation energy from raw total energies at -0.3802 eV per atom.

The structure belongs to space group P2_1/m (No. 11); the cell edges are 9.0410, 4.4913 and 12.8860 Å and the angles 90.00°, 107.93° and 90.00°. Symmetry generates all atoms from Na at (0.1844, 0.2500, 0.1223), In at (0.0266, 0.2500, 0.6168), Bi at (0.3192, 0.7500, 0.8681), Te at (0.0589, 0.2500, 0.8525), Te at (0.2332, 0.7500, 0.6005) and Te at (0.4451, 0.7500, 0.1338).

---

No. 3
The following is a PBE calculation of an optimized crystal structure of NbInP2O, from Alexandria.

The density of states at the Fermi level comes out at 6.1 states/eV/f.u. For the energy above the lowest structure with this stoichiometry, the calculation gives 0 meV per atom. The calculation puts the uncorrected energy at -4.947 eV/atom. The calculation puts the formation energy from raw total energies at 0.7707 eV per atom.

The structure belongs to space group P4/mmm (No. 123); the cell edges are 4.9750, 4.9750 and 3.8643 Å and the angles 90.00°, 90.00° and 90.00°. Symmetry generates all atoms from Nb at (0.0000, 0.0000, 0.0000), In at (0.5000, 0.5000, 0.5000), P at (0.0000, 0.5000, 0.5000) and O at (0.5000, 0.5000, 0.0000).

---

No. 4
The following is a PBE calculation of an optimized crystal structure of BaYSc, from Alexandria.

The energy relative to the elements is 0.44 eV per atom. The density of states at the Fermi level comes out at 8.0 states/eV/f.u. For the energy above the lowest structure with this stoichiometry, the calculation gives 268 meV per atom. The calculation puts the uncorrected energy at -4.467 eV/atom.

The structure belongs to space group Pnma (No. 62); the cell edges are 10.1658, 7.1195 and 5.8388 Å and the angles 90.00°, 90.00° and 90.00°. Symmetry generates all atoms from Ba at (0.1632, 0.2500, 0.0112), Y at (0.1698, 0.7500, 0.0100) and Sc at (0.0000, 0.0000, 0.5000).

---

No. 5
The following is a PBE calculation of an optimized crystal structure of TaAsPt2, from Alexandria.

The energy relative to the elements is -0.26 eV per atom. The density of states at the Fermi level comes out at 2.9 states/eV/f.u. The calculation puts the uncorrected energy at -7.407 eV/atom.

The structure belongs to space group Pmm2 (No. 25); the cell edges are 2.9016, 3.4727 and 6.5387 Å and the angles 90.00°, 90.00° and 90.00°. Symmetry generates all atoms from Ta at (0.0000, 0.0000, 0.0000), As at (0.5000, 0.5000, 0.2571), Pt at (0.0000, 0.0000, 0.4853) and Pt at (0.5000, 0.5000, 0.7636).

---

No. 6
The following is a PBE calculation of an optimized crystal structure of Ta2MnBe, from Alexandria.

The energy relative to the elements is 0.29 eV per atom. The density of states at the Fermi level comes out at 4.2 states/eV/f.u. The calculation puts the uncorrected energy at -8.858 eV/atom.

The structure belongs to space group F-43m (No. 216); the cell edges are 6.1165, 6.1165 and 6.1165 Å and the angles 90.00°, 90.00° and 90.00°. Symmetry generates all atoms from Ta at (0.0000, 0.0000, 0.0000), Ta at (0.2500, 0.2500, 0.2500), Mn at (0.2500, 0.2500, 0.7500) and Be at (0.0000, 0.0000, 0.5000).

---

No. 7
The following is a PBE calculation of an optimized crystal structure of LiBeSb2, from Alexandria.

The density of states at the Fermi level comes out at 1.9 states/eV/f.u. The calculation puts the uncorrected energy at -3.270 eV/atom. The calculation puts the formation energy from raw total energies at 0.2012 eV per atom.

The structure belongs to space group Cmmm (No. 65); the cell edges are 6.3696, 7.5718 and 3.3025 Å and the angles 90.00°, 90.00° and 90.00°. Symmetry generates all atoms from Li at (0.0000, 0.0000, 0.0000), Be at (0.0000, 0.5000, 0.0000) and Sb at (0.2500, 0.2500, 0.5000).

---

No. 8
The following is a PBE calculation of an optimized crystal structure of ZrGaCuIr, from Alexandria.

The energy relative to the elements is -0.50 eV per atom. The density of states at the Fermi level comes out at 3.3 states/eV/f.u. The calculation puts the uncorrected energy at -6.631 eV/atom.

The structure belongs to space group F-43m (No. 216); the cell edges are 6.3462, 6.3462 and 6.3462 Å and the angles 90.00°, 90.00° and 90.00°. Symmetry generates all atoms from Zr at (0.0000, 0.0000, 0.0000), Ga at (0.0000, 0.0000, 0.5000), Cu at (0.2500, 0.2500, 0.2500) and Ir at (0.2500, 0.2500, 0.7500).

---

Which of these has the lowest uncorrected energy? Ta2MnBe

---

The highest uncorrected energy belongs to which entry? LiBeSb2

---

The highest uncorrected energy belongs to which entry? LiBeSb2